(1)
Computed, not measured: a relaxed Ce3Hg2Sb crystal at the PBE level of DFT.

Properties
- N(E_F) (states/eV/cell) = 20.0
- symmetry = P-3m1
- VASP energy (eV/atom) = -4.261
- formation energy from raw total energies (meV per atom) = -506

POSCAR file:
```
Ce3Hg2Sb
1.0
5.418 0.000 0.000
-2.709 4.692 0.000
0.000 0.000 6.647
Ce Hg Sb
3 2 1
Direct
0.000 0.000 0.000
0.333 0.667 0.633
0.667 0.333 0.367
0.333 0.667 0.123
0.667 0.333 0.877
0.000 0.000 0.500
```

***

(2)
Computed, not measured: a relaxed PmB2H6 crystal at the PBE level of DFT.

Properties
- N(E_F) (states/eV/cell) = 3.0
- symmetry = Fm-3m
- VASP energy (eV/atom) = -2.983

POSCAR file:
```
PmB2H6
1.0
0.000 3.270 3.270
3.270 0.000 3.270
3.270 3.270 0.000
Pm B H
1 2 6
Direct
0.000 0.000 0.000
0.250 0.250 0.250
0.750 0.750 0.750
0.361 0.361 0.639
0.361 0.639 0.361
0.361 0.639 0.639
0.639 0.361 0.361
0.639 0.361 0.639
0.639 0.639 0.361
```

***

(3)
Computed, not measured: a relaxed Ba2HfZrSe6 crystal at the PBE level of DFT.

Properties
- N(E_F) (states/eV/cell) = 1.4
- symmetry = Pmmn
- VASP energy (eV/atom) = -5.896
- formation energy from raw total energies (meV per atom) = -1571

POSCAR file:
```
Ba2HfZrSe6
1.0
7.455 0.000 0.000
0.000 10.537 0.000
0.000 0.000 7.451
Ba Hf Zr Se
4 2 2 12
Direct
0.250 0.000 0.249
0.250 0.500 0.249
0.750 0.000 0.751
0.750 0.500 0.751
0.250 0.250 0.756
0.750 0.750 0.244
0.250 0.750 0.743
0.750 0.250 0.257
0.004 0.750 0.005
0.006 0.250 0.497
0.250 0.001 0.749
0.250 0.499 0.749
0.494 0.250 0.497
0.496 0.750 0.005
0.504 0.250 0.995
0.506 0.750 0.503
0.750 0.501 0.251
0.750 0.999 0.251
0.994 0.750 0.503
0.996 0.250 0.995
```